[1]
# Li2Cd6Rh GGA-PBE relaxed
# N(E_F) ... 2.9 states/eV/cell
# E above lowest polymorph ... 0 meV/atom
# Space group ... P-3m1 (164)
data_Li2Cd6Rh
_chemical_formula_sum 'Li2 Cd6 Rh1'
_cell_length_a 4.710
_cell_length_b 4.712
_cell_length_c 8.911
_cell_angle_alpha 90.04
_cell_angle_beta 90.00
_cell_angle_gamma 119.99
_space_group_name_H-M_alt 'P 1'
_space_group_IT_number 1
loop_
_space_group_symop_operation_xyz
'x,y,z'
loop_
_atom_site_label
_atom_site_type_symbol
_atom_site_fract_x
_atom_site_fract_y
_atom_site_fract_z
Li1 Li 0.667 0.333 0.710
Li2 Li 0.333 0.667 0.290
Cd1 Cd 0.333 0.667 0.945
Cd2 Cd 0.667 0.333 0.055
Cd3 Cd 0.000 0.000 0.190
Cd4 Cd 0.667 0.333 0.401
Cd5 Cd 0.000 0.000 0.810
Cd6 Cd 0.333 0.667 0.599
Rh1 Rh 0.000 0.000 0.500


[2]
# GaRh2Cl GGA-PBE relaxed
# N(E_F) ... 4.1 states/eV/cell
# E above lowest polymorph ... 53 meV/atom
# Formation energy from raw total energies ... 0.20 eV per atom
# Space group ... Fm-3m (225)
data_GaRh2Cl
_chemical_formula_sum 'Ga1 Rh2 Cl1'
_cell_length_a 4.408
_cell_length_b 4.408
_cell_length_c 4.408
_cell_angle_alpha 60.00
_cell_angle_beta 60.00
_cell_angle_gamma 60.00
_space_group_name_H-M_alt 'P 1'
_space_group_IT_number 1
loop_
_space_group_symop_operation_xyz
'x,y,z'
loop_
_atom_site_label
_atom_site_type_symbol
_atom_site_fract_x
_atom_site_fract_y
_atom_site_fract_z
Rh1 Rh 0.250 0.250 0.250
Rh2 Rh 0.750 0.750 0.750
Ga1 Ga 0.500 0.500 0.500
Cl1 Cl 0.000 0.000 0.000


[3]
# CaCr4Ag GGA-PBE relaxed
# VASP energy ... -6.55 eV/atom
# N(E_F) ... 9.1 states/eV/cell
# Space group ... F-43m (216)
data_CaCr4Ag
_chemical_formula_sum 'Ca1 Cr4 Ag1'
_cell_length_a 5.045
_cell_length_b 5.045
_cell_length_c 5.045
_cell_angle_alpha 60.00
_cell_angle_beta 60.00
_cell_angle_gamma 60.00
_space_group_name_H-M_alt 'P 1'
_space_group_IT_number 1
loop_
_space_group_symop_operation_xyz
'x,y,z'
loop_
_atom_site_label
_atom_site_type_symbol
_atom_site_fract_x
_atom_site_fract_y
_atom_site_fract_z
Ca1 Ca 0.000 0.000 0.000
Cr1 Cr 0.627 0.627 0.119
Cr2 Cr 0.627 0.119 0.627
Cr3 Cr 0.627 0.627 0.627
Cr4 Cr 0.119 0.627 0.627
Ag1 Ag 0.250 0.250 0.250


[4]
# Ca2LaCo GGA-PBE relaxed
# N(E_F) ... 7.8 states/eV/cell
# E above lowest polymorph ... 243 meV/atom
# Space group ... Cmmm (65)
data_Ca2LaCo
_chemical_formula_sum 'Ca2 La1 Co1'
_cell_length_a 3.496
_cell_length_b 3.496
_cell_length_c 9.591
_cell_angle_alpha 90.00
_cell_angle_beta 90.00
_cell_angle_gamma 90.21
_space_group_name_H-M_alt 'P 1'
_space_group_IT_number 1
loop_
_space_group_symop_operation_xyz
'x,y,z'
loop_
_atom_site_label
_atom_site_type_symbol
_atom_site_fract_x
_atom_site_fract_y
_atom_site_fract_z
Ca1 Ca 0.000 0.000 0.077
Ca2 Ca 0.000 0.000 0.423
Co1 Co 0.500 0.500 0.250
La1 La 0.500 0.500 0.750


[5]
# RbTl2CrMo GGA-PBE relaxed
# VASP energy ... -4.59 eV/atom
# N(E_F) ... 2.9 states/eV/cell
# Space group ... P4/mmm (123)
data_RbTl2CrMo
_chemical_formula_sum 'Rb1 Tl2 Cr1 Mo1'
_cell_length_a 5.588
_cell_length_b 4.733
_cell_length_c 5.588
_cell_angle_alpha 90.00
_cell_angle_beta 90.00
_cell_angle_gamma 90.00
_space_group_name_H-M_alt 'P 1'
_space_group_IT_number 1
loop_
_space_group_symop_operation_xyz
'x,y,z'
loop_
_atom_site_label
_atom_site_type_symbol
_atom_site_fract_x
_atom_site_fract_y
_atom_site_fract_z
Cr1 Cr 0.000 0.500 0.000
Tl1 Tl 0.000 0.000 0.500
Tl2 Tl 0.500 0.000 0.000
Mo1 Mo 0.000 0.000 0.000
Rb1 Rb 0.500 0.500 0.500


[6]
# AlPdO3 GGA-PBE relaxed
# N(E_F) ... 9.7 states/eV/cell
# Formation energy from raw total energies ... -1.51 eV per atom
# Space group ... C2/c (15)
data_AlPdO3
_chemical_formula_sum 'Al4 Pd4 O12'
_cell_length_a 6.629
_cell_length_b 6.629
_cell_length_c 5.345
_cell_angle_alpha 81.52
_cell_angle_beta 81.52
_cell_angle_gamma 87.31
_space_group_name_H-M_alt 'P 1'
_space_group_IT_number 1
loop_
_space_group_symop_operation_xyz
'x,y,z'
loop_
_atom_site_label
_atom_site_type_symbol
_atom_site_fract_x
_atom_site_fract_y
_atom_site_fract_z
Al1 Al 0.777 0.607 0.706
Al2 Al 0.607 0.777 0.206
Al3 Al 0.393 0.223 0.794
Al4 Al 0.223 0.393 0.294
Pd1 Pd 0.904 0.096 0.750
Pd2 Pd 0.280 0.720 0.750
Pd3 Pd 0.720 0.280 0.250
Pd4 Pd 0.096 0.904 0.250
O1 O 0.973 0.802 0.634
O2 O 0.802 0.973 0.134
O3 O 0.577 0.715 0.904
O4 O 0.855 0.375 0.888
O5 O 0.715 0.577 0.404
O6 O 0.375 0.855 0.388
O7 O 0.625 0.145 0.612
O8 O 0.285 0.423 0.596
O9 O 0.145 0.625 0.112
O10 O 0.423 0.285 0.096
O11 O 0.198 0.027 0.866
O12 O 0.027 0.198 0.366


no.,total magnetization (μB per cell)
1,0.000
2,1.446
3,0.000
4,0.326
5,2.360
6,0.249